Entry 1:
DFT (PBE-GGA) results for a relaxed structure of TcHg2W.

M_tot: 0.0 μB/f.u.
DFT total energy: -5.144 eV per atom
Energy relative to the lowest polymorph listed for this composition: 439 meV/atom
Density: 15.8 Mg/m³

Cell: 4.8290 2.8089 5.3985 Å, 79.41 90.00 90.00°
Element x y z (fractional)
Hg (0.0000, 0.0275, 0.0024)
Hg (0.0000, 0.4725, 0.4976)
Tc (0.5000, 0.2500, 0.2500)
W (0.5000, 0.7500, 0.7500)


Entry 2:
DFT (PBE-GGA) results for a relaxed structure of TcHg2W.

M_tot: 1.6 μB/f.u.
DFT total energy: -5.107 eV per atom
Energy relative to the lowest polymorph listed for this composition: 476 meV/atom
Density: 15.8 Mg/m³

Cell: 5.2663 5.2663 2.8730 Å, 90.00 90.00 115.70°
Site moments in Bohr magnetons follow the coordinates.
Element x y z (fractional)
W (0.0000, 0.5000, 0.5000)  0.21
Hg (0.5000, 0.5000, 0.0000)  0.00
Hg (0.0000, 0.0000, 0.0000)  0.00
Tc (0.5000, 0.0000, 0.5000)  1.24


Entry 3:
DFT (PBE-GGA) results for a relaxed structure of TcHg2W.

M_tot: 0.0 μB/f.u.
DFT total energy: -5.161 eV per atom
Energy relative to the lowest polymorph listed for this composition: 421 meV/atom
Density: 15.8 Mg/m³

Cell: 5.5872 5.5872 5.5872 Å, 146.07 131.77 60.27°
Element x y z (fractional)
W (0.7500, 0.2500, 0.5000)
Hg (0.4973, 0.4973, 0.0000)
Hg (0.0027, 0.0027, 0.0000)
Tc (0.2500, 0.7500, 0.5000)


Entry 4:
DFT (PBE-GGA) results for a relaxed structure of TcHg2W.

M_tot: 0.5 μB/f.u.
DFT total energy: -5.184 eV per atom
Energy relative to the lowest polymorph listed for this composition: 399 meV/atom
Density: 15.9 Mg/m³

Cell: 9.6955 9.6955 9.6955 Å, 17.44 17.44 17.44°
Site moments in Bohr magnetons follow the coordinates.
Element x y z (fractional)
Tc (0.2500, 0.2500, 0.2500)  0.38
W (0.7500, 0.7500, 0.7500)  0.04
Hg (0.5013, 0.5013, 0.5013)  0.00
Hg (0.9987, 0.9987, 0.9987)  0.00


Entry 5:
DFT (PBE-GGA) results for a relaxed structure of TcHg2W.

M_tot: 0.0 μB/f.u.
DFT total energy: -5.161 eV per atom
Energy relative to the lowest polymorph listed for this composition: 422 meV/atom
Density: 15.7 Mg/m³

Cell: 3.2216 4.6000 4.8602 Å, 90.00 90.00 90.00°
Element x y z (fractional)
W (0.0000, 0.5000, 0.5000)
Hg (0.5000, 0.5000, 0.0000)
Hg (0.0000, 0.0000, 0.0000)
Tc (0.5000, 0.0000, 0.5000)


Entry 6:
DFT (PBE-GGA) results for a relaxed structure of TcHg2W.

M_tot: 0.0 μB/f.u.
DFT total energy: -5.174 eV per atom
Energy relative to the lowest polymorph listed for this composition: 408 meV/atom
Density: 16.1 Mg/m³

Cell: 5.0391 5.0391 5.0391 Å, 131.41 131.41 71.17°
Element x y z (fractional)
Hg (0.2500, 0.7500, 0.5000)
Hg (0.0000, 0.0000, 0.0000)
Tc (0.5000, 0.5000, 0.0000)
W (0.7500, 0.2500, 0.5000)


Entry 7:
DFT (PBE-GGA) results for a relaxed structure of TcHg2W.

M_tot: 0.0 μB/f.u.
DFT total energy: -5.204 eV per atom
Energy relative to the lowest polymorph listed for this composition: 378 meV/atom
Density: 15.9 Mg/m³

Cell: 5.1050 5.1050 5.0337 Å, 80.33 80.33 33.53°
Element x y z (fractional)
Tc (0.2500, 0.2500, 0.2500)
W (0.7500, 0.7500, 0.7500)
Hg (0.9984, 0.9984, 0.0017)
Hg (0.5016, 0.5016, 0.4983)


Entry 8:
DFT (PBE-GGA) results for a relaxed structure of TcHg2W.

M_tot: 0.0 μB/f.u.
DFT total energy: -5.504 eV per atom
Energy relative to the lowest polymorph listed for this composition: 78 meV/atom
Density: 14.8 Mg/m³

Cell: 2.9091 2.9091 9.9670 Å, 90.00 90.00 114.92°
Element x y z (fractional)
Tc (0.0000, 0.0000, 0.5259)
W (0.5000, 0.5000, 0.7213)
Hg (0.5000, 0.5000, 0.2703)
Hg (0.0000, 0.0000, 0.9824)


Entry 9:
DFT (PBE-GGA) results for a relaxed structure of TcHg2W.

M_tot: 0.5 μB/f.u.
DFT total energy: -5.108 eV per atom
Energy relative to the lowest polymorph listed for this composition: 475 meV/atom
Density: 15.9 Mg/m³

Cell: 5.3201 5.3201 5.3201 Å, 136.12 136.12 63.79°
Site moments in Bohr magnetons follow the coordinates.
Element x y z (fractional)
Hg (0.5000, 0.5000, 0.0000)  0.01
Hg (0.0000, 0.0000, 0.0000)  0.01
Tc (0.2500, 0.7500, 0.5000)  0.20
W (0.7500, 0.2500, 0.5000)  0.18


Entry 10:
DFT (PBE-GGA) results for a relaxed structure of TcHg2W.

M_tot: 0.0 μB/f.u.
DFT total energy: -5.582 eV per atom
Energy relative to the lowest polymorph listed for this composition: 0 meV/atom
Density: 14.8 Mg/m³

Cell: 3.0660 3.0660 8.1584 Å, 90.00 90.00 90.00°
Element x y z (fractional)
Tc (0.0000, 0.0000, 0.5386)
Hg (0.0000, 0.0000, 0.9751)
Hg (0.5000, 0.5000, 0.2781)
W (0.5000, 0.5000, 0.7082)


Entry 11:
DFT (PBE-GGA) results for a relaxed structure of TcHg2W.

M_tot: 0.0 μB/f.u.
DFT total energy: -4.973 eV per atom
Energy relative to the lowest polymorph listed for this composition: 610 meV/atom
Density: 16.2 Mg/m³

Cell: 4.6307 4.6307 4.6307 Å, 60.00 60.00 60.00°
Element x y z (fractional)
Tc (0.0000, 0.0000, 0.0000)
W (0.5000, 0.5000, 0.5000)
Hg (0.7500, 0.7500, 0.7500)
Hg (0.2500, 0.2500, 0.2500)


Entry 12:
DFT (PBE-GGA) results for a relaxed structure of TcHg2W.

M_tot: 0.0 μB/f.u.
DFT total energy: -5.326 eV per atom
Energy relative to the lowest polymorph listed for this composition: 256 meV/atom
Density: 15.0 Mg/m³

Cell: 5.6794 5.6794 5.6794 Å, 147.72 128.79 61.84°
Element x y z (fractional)
Tc (0.5302, 0.5302, 0.0000)
Hg (0.2641, 0.7641, 0.5000)
Hg (0.9864, 0.9864, 0.0000)
W (0.7192, 0.2192, 0.5000)